[1]
Here is a relaxed structure of RbTc2NiHg from Alexandria via LeMat-Bulk. Energies are from PBE.

a = 4.811 Å, b = 4.811 Å, c = 5.167 Å
α = 90.00°, β = 90.00°, γ = 90.00°
Space group P4/mmm (No. 123)
Symmetry-distinct sites (fractional):
Rb (0.000, 0.000, 0.000) [1 per cell]
Tc (0.000, 0.500, 0.500) [2 per cell]
Ni (0.500, 0.500, 0.500) [1 per cell]
Hg (0.500, 0.500, 0.000) [1 per cell]

Summary:
- energy of formation (meV/atom) = 1308

---

[2]
Here is a relaxed structure of RbTlNiHg2 from Alexandria via LeMat-Bulk. Energies are from PBE.

a = 5.282 Å, b = 5.282 Å, c = 5.136 Å
α = 90.00°, β = 90.00°, γ = 90.00°
Space group P4/mmm (No. 123)
Symmetry-distinct sites (fractional):
Rb (0.000, 0.000, 0.000) [1 per cell]
Tl (0.500, 0.500, 0.000) [1 per cell]
Ni (0.500, 0.500, 0.500) [1 per cell]
Hg (0.000, 0.500, 0.500) [2 per cell]

Summary:
- energy of formation (meV/atom) = -73

---

[3]
Here is a relaxed structure of ReNi3Hg from Alexandria via LeMat-Bulk. Energies are from PBE.

a = 4.543 Å, b = 4.543 Å, c = 4.543 Å
α = 90.00°, β = 90.00°, γ = 90.00°
Space group Pm-3m (No. 221)
Symmetry-distinct sites (fractional):
Re (0.000, 0.000, 0.000) [1 per cell]
Ni (0.000, 0.000, 0.500) [3 per cell]
Hg (0.500, 0.500, 0.500) [1 per cell]

Summary:
- distance to the lowest polymorph of the same formula (meV per atom) = 0.0
- energy of formation (meV/atom) = 1285

---

[4]
Here is a relaxed structure of ReNi4Hg from Alexandria via LeMat-Bulk. Energies are from PBE.

a = 6.774 Å, b = 6.774 Å, c = 6.774 Å
α = 90.00°, β = 90.00°, γ = 90.00°
Space group F-43m (No. 216)
Symmetry-distinct sites (fractional):
Re (0.000, 0.000, 0.000) [4 per cell]
Ni (0.126, 0.126, 0.374) [16 per cell]
Hg (0.250, 0.250, 0.750) [4 per cell]

Summary:
- energy of formation (meV/atom) = 333

---

[5]
Here is a relaxed structure of Re2NiHg2 from Alexandria via LeMat-Bulk. Energies are from PBE.

a = 6.324 Å, b = 6.324 Å, c = 4.521 Å
α = 90.00°, β = 90.00°, γ = 90.00°
Space group P4/mbm (No. 127)
Symmetry-distinct sites (fractional):
Re (0.131, 0.369, 0.000) [4 per cell]
Ni (0.000, 0.000, 0.000) [2 per cell]
Hg (0.183, 0.683, 0.500) [4 per cell]

Summary:
- distance to the lowest polymorph of the same formula (meV per atom) = 0.0
- energy of formation (meV/atom) = 866

---

[6]
Here is a relaxed structure of Re2NiHg2 from Alexandria via LeMat-Bulk. Energies are from PBE.

a = 3.757 Å, b = 3.757 Å, c = 13.670 Å
α = 90.00°, β = 90.00°, γ = 90.00°
Space group I4/mmm (No. 139)
Symmetry-distinct sites (fractional):
Re (0.000, 0.000, 0.082) [4 per cell]
Ni (0.000, 0.000, 0.500) [2 per cell]
Hg (0.000, 0.500, 0.250) [4 per cell]

Summary:
- distance to the lowest polymorph of the same formula (meV per atom) = 491.6
- energy of formation (meV/atom) = 1357

---

[7]
Here is a relaxed structure of Re2NiHg2 from Alexandria via LeMat-Bulk. Energies are from PBE.

a = 8.134 Å, b = 8.134 Å, c = 2.877 Å
α = 90.00°, β = 90.00°, γ = 90.00°
Space group P4/mbm (No. 127)
Symmetry-distinct sites (fractional):
Re (0.102, 0.398, 0.000) [4 per cell]
Ni (0.000, 0.000, 0.500) [2 per cell]
Hg (0.192, 0.692, 0.500) [4 per cell]

Summary:
- distance to the lowest polymorph of the same formula (meV per atom) = 313.0
- energy of formation (meV/atom) = 1179

---

[8]
Here is a relaxed structure of Re2NiHg2 from Alexandria via LeMat-Bulk. Energies are from PBE.

a = 3.532 Å, b = 3.532 Å, c = 15.077 Å
α = 90.00°, β = 90.00°, γ = 90.00°
Space group I4/mmm (No. 139)
Symmetry-distinct sites (fractional):
Re (0.000, 0.500, 0.250) [4 per cell]
Ni (0.000, 0.000, 0.000) [2 per cell]
Hg (0.000, 0.000, 0.407) [4 per cell]

Summary:
- distance to the lowest polymorph of the same formula (meV per atom) = 35.6
- energy of formation (meV/atom) = 902